No. 1
Material: DyCdCl5
Method: DFT, PBE
State: optimized geometry

Results
formation energy without anion corrections: -38.830 kcal/mol of atoms
DOS at the Fermi energy: 0.00 states/eV/f.u.
density: 3.67 Mg/m³
magnetization: 0.000 μB/atom
distance to the lowest polymorph of the same formula: 0.0344 eV/atom
calculated total energy: -106.1 eV for the cell shown

Lattice parameters (Å, degrees): 11.2311 8.5413 9.2763 90.00 112.99 90.00
Space group C2/c (No. 15)
Asymmetric unit:
Dy: 0.0000 0.0500 0.2500 x4
Cd: 0.0000 0.5000 0.0000 x4
Cl: 0.0000 0.3727 0.2500 x4
Cl: 0.0172 0.1797 0.9602 x8
Cl: 0.2497 0.0466 0.3606 x8

No. 2
Material: Cr2BiMoI
Method: DFT, PBE
State: optimized geometry

Results
formation energy without anion corrections: 44.819 kcal/mol of atoms
DOS at the Fermi energy: 3.54 states/eV/f.u.
density: 5.51 Mg/m³
magnetization: 2.610 μB/atom
calculated total energy: -25.8 eV for the cell shown

Lattice parameters (Å, degrees): 5.0621 5.0621 6.3057 90.00 90.00 90.00
Space group P4/mmm (No. 123)
Asymmetric unit:
Cr: 0.0000 0.5000 0.0000 x2
Bi: 0.0000 0.0000 0.5000 x1
Mo: 0.5000 0.5000 0.5000 x1
I: 0.0000 0.0000 0.0000 x1

No. 3
Material: SrIn4Ag4
Method: DFT, PBE
State: optimized geometry

Results
DOS at the Fermi energy: 2.45 states/eV/f.u.
density: 7.33 Mg/m³
magnetization: 0.000 μB/atom
calculated total energy: -50.0 eV for the cell shown
E_form: -0.961 eV/f.u.

Lattice parameters (Å, degrees): 9.3897 9.3897 5.0280 90.00 90.00 90.00
Space group I4/m (No. 87)
Asymmetric unit:
Sr: 0.0000 0.0000 0.0000 x2
In: 0.0995 0.3663 0.0000 x8
Ag: 0.1052 0.2045 0.5000 x8

Copy entry 2 word for word.
Material: Cr2BiMoI
Method: DFT, PBE
State: optimized geometry

Results
formation energy without anion corrections: 44.819 kcal/mol of atoms
DOS at the Fermi energy: 3.54 states/eV/f.u.
density: 5.51 Mg/m³
magnetization: 2.610 μB/atom
calculated total energy: -25.8 eV for the cell shown

Lattice parameters (Å, degrees): 5.0621 5.0621 6.3057 90.00 90.00 90.00
Space group P4/mmm (No. 123)
Asymmetric unit:
Cr: 0.0000 0.5000 0.0000 x2
Bi: 0.0000 0.0000 0.5000 x1
Mo: 0.5000 0.5000 0.5000 x1
I: 0.0000 0.0000 0.0000 x1

What did the third record say?
Material: SrIn4Ag4
Method: DFT, PBE
State: optimized geometry

Results
DOS at the Fermi energy: 2.45 states/eV/f.u.
density: 7.33 Mg/m³
magnetization: 0.000 μB/atom
calculated total energy: -50.0 eV for the cell shown
E_form: -0.961 eV/f.u.

Lattice parameters (Å, degrees): 9.3897 9.3897 5.0280 90.00 90.00 90.00
Space group I4/m (No. 87)
Asymmetric unit:
Sr: 0.0000 0.0000 0.0000 x2
In: 0.0995 0.3663 0.0000 x8
Ag: 0.1052 0.2045 0.5000 x8

Among the records above, which one has the lowest calculated total energy? DyCdCl5

Look up the DOS at the Fermi energy of the second one. 3.54 states/eV/f.u.